DFT (PBE) results for crystalline VSi3Mo at its relaxed geometry.

Output
DOS(E_F) = 8.87 states/eV/f.u.
Uncorrected formation energy = 0.890 eV/atom

Structure (POSCAR):
```
VSi3Mo
1.0
4.6969 0.0000 0.0000
0.0000 4.6969 0.0000
0.0000 0.0000 4.6969
V Si Mo
1 3 1
direct
0.0000 0.0000 0.0000
0.0000 0.5000 0.5000
0.5000 0.0000 0.5000
0.5000 0.5000 0.0000
0.5000 0.5000 0.5000
```


DFT (PBE) results for crystalline VSi2Mo at its relaxed geometry.

Output
DOS(E_F) = 3.32 states/eV/f.u.
Uncorrected formation energy = -0.171 eV/atom

Structure (POSCAR):
```
VSi2Mo
1.0
3.0464 0.0000 0.0000
0.0000 3.4064 0.0000
-1.3320 0.0000 5.4697
V Si Mo
1 2 1
direct
0.0000 0.0000 0.0000
0.2582 0.5000 0.3059
0.4212 0.5000 0.7804
0.8307 0.0000 0.5119
```


DFT (PBE) results for crystalline V2SiMo at its relaxed geometry.

Output
DOS(E_F) = 2.36 states/eV/f.u.
Uncorrected formation energy = -0.243 eV/atom

Structure (POSCAR):
```
V2SiMo
1.0
3.0067 0.0000 0.0000
-0.9629 4.6444 0.0000
-0.9627 -2.3371 4.0277
V Si Mo
2 1 1
direct
0.0000 0.0000 0.0000
0.0029 0.5602 0.4456
0.3466 0.5581 0.0018
0.5586 0.1132 0.5536
```


DFT (PBE) results for crystalline V2SiMo at its relaxed geometry.

Output
DOS(E_F) = 2.29 states/eV/f.u.
Uncorrected formation energy = -0.309 eV/atom

Structure (POSCAR):
```
V2SiMo
1.0
4.0630 0.0000 0.0000
0.0000 4.0630 0.0000
0.0000 0.0000 3.3179
V Si Mo
2 1 1
direct
0.0000 0.5000 0.0000
0.5000 0.0000 0.0000
0.0000 0.0000 0.5000
0.5000 0.5000 0.5000
```


Number 1: spin magnetization 4.063 μB per cell. Number 2: spin magnetization 0.001 μB per cell. Number 3: spin magnetization 0.000 μB per cell. Number 4: spin magnetization 0.000 μB per cell.